[1]
HfSb2Rh | PBE | relaxed

a = 4.864 Å, b = 4.864 Å, c = 4.864 Å
α = 60.00°, β = 60.00°, γ = 60.00°
Atoms (fractional coordinates):
Sb 0.750 0.750 0.750
Sb 0.250 0.250 0.250
Hf 0.500 0.500 0.500
Rh 0.000 0.000 0.000

Calculated values
spin magnetization: 0.00 μB/atom
space group: No. 225
N(E_F): 1.1808 states/eV per atom
formation energy (no corrections): -174 meV per atom

=====

[2]
Tb2Al4Zn3Cu | PBE | relaxed

a = 4.176 Å, b = 4.176 Å, c = 10.557 Å
α = 90.00°, β = 90.00°, γ = 90.00°
Atoms (fractional coordinates):
Cu 0.500 0.500 0.500
Al 0.500 0.000 0.627
Al 0.000 0.000 0.000
Al 0.000 0.500 0.373
Al 0.500 0.500 0.000
Zn 0.500 0.000 0.858
Zn 0.000 0.500 0.142
Zn 0.000 0.000 0.500
Tb 0.500 0.000 0.255
Tb 0.000 0.500 0.745

Calculated values
spin magnetization: 0.00 μB/atom
space group: No. 115
N(E_F): 0.5067 states/eV per atom
energy relative to the elements: -0.38 eV/atom

=====

[3]
Np2Si3Ir2 | PBE | relaxed

a = 3.633 Å, b = 5.757 Å, c = 6.751 Å
α = 120.85°, β = 90.00°, γ = 108.39°
Last column: magnetic moment on the atom in μB.
Atoms (fractional coordinates):
Si 0.582 0.163 0.446  -0.01
Si 0.500 0.000 0.000  -0.01
Si 0.418 0.837 0.554  -0.01
Np 0.821 0.642 0.137  0.87
Np 0.179 0.358 0.863  0.87
Ir 0.848 0.696 0.695  0.01
Ir 0.152 0.304 0.305  0.01

Calculated values
spin magnetization: 0.24 μB/atom
distance to the lowest polymorph of the same formula: 34 meV/atom
space group: No. 12
N(E_F): 1.0824 states/eV per atom
formation energy (no corrections): -496 meV per atom

=====

[4]
Ge3BiSe | PBE | relaxed

a = 5.173 Å, b = 5.173 Å, c = 5.173 Å
α = 90.00°, β = 90.00°, γ = 90.00°
Atoms (fractional coordinates):
Se 0.000 0.000 0.000
Ge 0.000 0.000 0.500
Ge 0.500 0.000 0.000
Ge 0.000 0.500 0.000
Bi 0.500 0.500 0.500

Calculated values
spin magnetization: 0.00 μB/atom
distance to the lowest polymorph of the same formula: 0 meV/atom
space group: No. 221
N(E_F): 0.4065 states/eV per atom
formation energy (no corrections): 516 meV per atom

=====

[5]
TbAl3Cu | PBE | relaxed

a = 4.657 Å, b = 6.551 Å, c = 6.517 Å
α = 90.00°, β = 90.00°, γ = 90.00°
Atoms (fractional coordinates):
Al 0.000 0.250 0.750
Al 0.000 0.750 0.250
Al 0.500 0.500 0.000
Al 0.000 0.750 0.750
Al 0.500 0.000 0.500
Al 0.000 0.250 0.250
Cu 0.000 0.500 0.000
Cu 0.000 0.000 0.500
Tb 0.500 0.000 0.000
Tb 0.500 0.500 0.500

Calculated values
spin magnetization: 0.00 μB/atom
distance to the lowest polymorph of the same formula: 404 meV/atom
space group: No. 65
N(E_F): 0.4101 states/eV per atom
energy relative to the elements: -0.05 eV/atom

=====

[6]
Tc3MoCl | PBE | relaxed

a = 4.837 Å, b = 4.837 Å, c = 4.837 Å
α = 90.00°, β = 90.00°, γ = 90.00°
Last column: magnetic moment on the atom in μB.
Atoms (fractional coordinates):
Mo 0.000 0.000 0.000  -0.60
Cl 0.500 0.500 0.500  0.28
Tc 0.000 0.000 0.500  2.05
Tc 0.500 0.000 0.000  2.17
Tc 0.000 0.500 0.000  2.23

Calculated values
spin magnetization: 1.39 μB/atom
distance to the lowest polymorph of the same formula: 739 meV/atom
space group: No. 221
N(E_F): 1.1627 states/eV per atom
formation energy (no corrections): 1934 meV per atom

=====

[7]
CaSiBi3 | PBE | relaxed

a = 5.498 Å, b = 5.498 Å, c = 5.498 Å
α = 90.00°, β = 90.00°, γ = 90.00°
Atoms (fractional coordinates):
Bi 0.000 0.500 0.000
Bi 0.000 0.000 0.500
Bi 0.500 0.000 0.000
Ca 0.500 0.500 0.500
Si 0.000 0.000 0.000

Calculated values
spin magnetization: 0.00 μB/atom
distance to the lowest polymorph of the same formula: 0 meV/atom
space group: No. 221
N(E_F): 1.0014 states/eV per atom
formation energy (no corrections): 213 meV per atom

=====

[8]
Hg2Ge2Te | PBE | relaxed

a = 3.853 Å, b = 3.853 Å, c = 8.855 Å
α = 77.43°, β = 77.43°, γ = 90.00°
Atoms (fractional coordinates):
Ge 0.750 0.250 0.500
Ge 0.250 0.750 0.500
Te 0.000 0.000 0.000
Hg 0.398 0.398 0.204
Hg 0.602 0.602 0.796

Calculated values
spin magnetization: 0.00 μB/atom
distance to the lowest polymorph of the same formula: 28 meV/atom
space group: No. 139
N(E_F): 0.5713 states/eV per atom
formation energy (no corrections): 248 meV per atom

=====

[9]
SmZr3Pa2N6 | PBE | relaxed

a = 5.863 Å, b = 5.863 Å, c = 5.888 Å
α = 99.58°, β = 99.58°, γ = 119.92°
Atoms (fractional coordinates):
N 0.745 0.745 0.263
N 0.431 0.088 0.265
N 0.912 0.569 0.735
N 0.088 0.431 0.265
N 0.255 0.255 0.737
N 0.569 0.912 0.735
Sm 0.000 0.000 0.000
Pa 0.333 0.667 0.000
Pa 0.667 0.333 0.000
Zr 0.162 0.838 0.500
Zr 0.838 0.162 0.500
Zr 0.500 0.500 0.500

Calculated values
spin magnetization: 0.00 μB/atom
space group: No. 12
N(E_F): 0.4027 states/eV per atom
formation energy (no corrections): -1651 meV per atom

=====

[10]
Mg2NiH5 | PBE | relaxed

a = 3.860 Å, b = 4.959 Å, c = 8.671 Å
α = 90.00°, β = 90.00°, γ = 112.91°
Atoms (fractional coordinates):
Mg 0.856 0.713 0.425
Mg 0.856 0.713 0.075
Mg 0.144 0.287 0.575
Mg 0.144 0.287 0.925
H 0.320 0.640 0.404
H 0.320 0.640 0.096
H 0.064 0.129 0.370
H 0.680 0.360 0.596
H 0.064 0.129 0.130
H 0.936 0.871 0.870
H 0.936 0.871 0.630
H 0.680 0.360 0.904
H 0.712 0.425 0.250
H 0.288 0.575 0.750
Ni 0.791 0.582 0.750
Ni 0.209 0.418 0.250

Calculated values
spin magnetization: 0.00 μB/atom
space group: No. 63
N(E_F): 0.1491 states/eV per atom
E_tot: -3.276 eV/atom

=====

[11]
CaAlIr2 | PBE | relaxed

a = 5.548 Å, b = 5.548 Å, c = 4.921 Å
α = 64.75°, β = 64.75°, γ = 30.63°
Atoms (fractional coordinates):
Ir 0.026 0.026 0.068
Ir 0.745 0.745 0.694
Ca 0.262 0.262 0.194
Al 0.467 0.467 0.544

Calculated values
spin magnetization: 0.00 μB/atom
space group: No. 8
N(E_F): 0.4057 states/eV per atom
energy relative to the elements: -0.33 eV/atom

=====

[12]
AcPmGeOs | PBE | relaxed

a = 5.227 Å, b = 5.227 Å, c = 5.227 Å
α = 60.00°, β = 60.00°, γ = 60.00°
Atoms (fractional coordinates):
Ac 0.500 0.500 0.500
Ge 0.250 0.250 0.250
Pm 0.000 0.000 0.000
Os 0.750 0.750 0.750

Calculated values
spin magnetization: 0.00 μB/atom
space group: No. 216
N(E_F): 0.4847 states/eV per atom
energy relative to the elements: -0.08 eV/atom

=====

[13]
BaTaBe2 | PBE | relaxed

a = 2.960 Å, b = 2.960 Å, c = 8.471 Å
α = 90.00°, β = 90.00°, γ = 90.00°
Atoms (fractional coordinates):
Be 0.000 0.000 0.097
Be 0.500 0.500 0.211
Ta 0.000 0.000 0.409
Ba 0.500 0.500 0.783

Calculated values
spin magnetization: 0.00 μB/atom
distance to the lowest polymorph of the same formula: 237 meV/atom
space group: No. 99
N(E_F): 0.6318 states/eV per atom
energy relative to the elements: 0.68 eV/atom

=====

[14]
TiAgHg2Te | PBE | relaxed

a = 5.610 Å, b = 5.610 Å, c = 5.271 Å
α = 90.00°, β = 90.00°, γ = 90.00°
Last column: magnetic moment on the atom in μB.
Atoms (fractional coordinates):
Hg 0.500 0.000 0.000  0.02
Hg 0.000 0.500 0.000  0.02
Te 0.000 0.000 0.000  0.06
Ag 0.000 0.000 0.500  0.02
Ti 0.500 0.500 0.500  2.05

Calculated values
spin magnetization: 0.60 μB/atom
space group: No. 123
N(E_F): 1.4507 states/eV per atom
formation energy (no corrections): 954 meV per atom

=====

[15]
Dy3SbPd | PBE | relaxed

a = 7.256 Å, b = 9.205 Å, c = 9.205 Å
α = 70.81°, β = 80.73°, γ = 80.73°
Atoms (fractional coordinates):
Sb 0.247 0.598 0.877
Sb 0.747 0.877 0.598
Sb 0.253 0.123 0.402
Sb 0.753 0.402 0.123
Pd 0.250 0.046 0.954
Pd 0.250 0.782 0.218
Pd 0.750 0.954 0.046
Pd 0.750 0.218 0.782
Dy 0.044 0.952 0.775
Dy 0.467 0.153 0.658
Dy 0.967 0.658 0.153
Dy 0.956 0.048 0.225
Dy 0.092 0.663 0.533
Dy 0.908 0.337 0.467
Dy 0.533 0.847 0.342
Dy 0.592 0.533 0.663
Dy 0.456 0.225 0.048
Dy 0.544 0.775 0.952
Dy 0.408 0.467 0.337
Dy 0.033 0.342 0.847

Calculated values
spin magnetization: 0.00 μB/atom
space group: No. 15
N(E_F): 0.9266 states/eV per atom
formation energy (no corrections): -651 meV per atom

=====

[16]
TeMoAs | PBE | relaxed

a = 7.749 Å, b = 7.505 Å, c = 3.118 Å
α = 82.64°, β = 73.85°, γ = 23.52°
Atoms (fractional coordinates):
Mo 0.657 0.657 0.343
Te 0.309 0.309 0.691
As 0.033 0.033 0.967

Calculated values
spin magnetization: 0.00 μB/atom
distance to the lowest polymorph of the same formula: 328 meV/atom
space group: No. 42
N(E_F): 1.1152 states/eV per atom
formation energy (no corrections): 302 meV per atom

=====

[17]
NbTeH2PdI | PBE | relaxed

a = 3.614 Å, b = 4.689 Å, c = 8.329 Å
α = 96.89°, β = 90.38°, γ = 112.67°
Atoms (fractional coordinates):
Pd 0.448 0.220 0.151
Te 0.145 0.618 0.013
I 0.826 0.963 0.604
H 0.545 0.406 0.342
H 0.231 0.781 0.356
Nb 0.757 0.834 0.280

Calculated values
spin magnetization: 0.00 μB/atom
distance to the lowest polymorph of the same formula: 49 meV/atom
space group: No. 1
N(E_F): 0.1293 states/eV per atom

=====

[18]
La3Pu2TaN6 | PBE | relaxed

a = 6.012 Å, b = 6.012 Å, c = 6.192 Å
α = 99.26°, β = 99.26°, γ = 119.96°
Last column: magnetic moment on the atom in μB.
Atoms (fractional coordinates):
N 0.760 0.760 0.208  -0.10
N 0.068 0.377 0.203  -0.10
N 0.932 0.623 0.797  -0.10
N 0.623 0.932 0.797  -0.10
N 0.240 0.240 0.792  -0.10
N 0.377 0.068 0.203  -0.10
La 0.166 0.834 0.500  0.08
La 0.500 0.500 0.500  0.09
La 0.834 0.166 0.500  0.08
Pu 0.667 0.333 0.000  4.55
Pu 0.333 0.667 0.000  4.55
Ta 0.000 0.000 0.000  0.09

Calculated values
spin magnetization: 0.77 μB/atom
space group: No. 12
N(E_F): 0.9688 states/eV per atom
formation energy (no corrections): -1295 meV per atom

=====

[19]
Tb2MgAl3 | PBE | relaxed

a = 3.808 Å, b = 4.647 Å, c = 8.613 Å
α = 105.65°, β = 102.77°, γ = 90.00°
Atoms (fractional coordinates):
Mg 0.462 0.962 0.925
Al 0.541 0.541 0.082
Al 0.698 0.698 0.396
Al 0.298 0.798 0.597
Tb 0.859 0.359 0.717
Tb 0.141 0.141 0.283

Calculated values
spin magnetization: 0.00 μB/atom
space group: No. 44
N(E_F): 0.6118 states/eV per atom
energy relative to the elements: -0.27 eV/atom

=====

[20]
Rb3CeY2S6 | PBE | relaxed

a = 7.176 Å, b = 7.176 Å, c = 8.047 Å
α = 98.55°, β = 98.55°, γ = 120.00°
Last column: magnetic moment on the atom in μB.
Atoms (fractional coordinates):
Y 0.667 0.333 0.000  0.01
Y 0.333 0.667 0.000  0.01
S 0.406 0.064 0.193  -0.01
S 0.064 0.406 0.193  -0.01
S 0.723 0.723 0.193  -0.01
S 0.594 0.936 0.807  -0.01
S 0.936 0.594 0.807  -0.01
S 0.277 0.277 0.807  -0.01
Rb 0.834 0.166 0.500  0.00
Rb 0.500 0.500 0.500  0.00
Rb 0.166 0.834 0.500  0.00
Ce 0.000 0.000 0.000  0.94

Calculated values
spin magnetization: 0.08 μB/atom
space group: No. 12
N(E_F): 0.3862 states/eV per atom
formation energy (no corrections): -1823 meV per atom

=====

[21]
Tb2PmNdTm4 | PBE | relaxed

a = 9.472 Å, b = 9.472 Å, c = 11.744 Å
α = 128.31°, β = 128.31°, γ = 88.57°
Last column: magnetic moment on the atom in μB.
Atoms (fractional coordinates):
Tm 0.249 0.753 0.500  0.27
Tm 0.749 0.751 0.002  0.26
Tm 0.749 0.751 0.498  0.26
Tm 0.747 0.251 0.000  0.27
Tm 0.253 0.749 0.000  0.27
Tm 0.751 0.247 0.500  0.27
Tm 0.251 0.249 0.502  0.26
Tm 0.251 0.249 0.998  0.26
Tb 0.000 0.000 0.500  0.27
Tb 0.500 0.000 0.500  0.26
Tb 0.500 0.000 0.000  0.26
Tb 0.500 0.500 0.000  0.27
Pm 0.000 0.500 0.500  0.25
Pm 0.000 0.500 0.000  0.25
Nd 0.000 0.000 0.000  0.20
Nd 0.500 0.500 0.500  0.20

Calculated values
spin magnetization: 0.35 μB/atom
space group: No. 74
N(E_F): 2.1911 states/eV per atom
energy relative to the elements: 0.43 eV/atom

=====

[22]
BeNb3Tc | PBE | relaxed

a = 4.389 Å, b = 4.389 Å, c = 4.389 Å
α = 90.00°, β = 90.00°, γ = 90.00°
Atoms (fractional coordinates):
Be 0.000 0.000 0.000
Nb 0.500 0.000 0.000
Nb 0.000 0.500 0.000
Nb 0.000 0.000 0.500
Tc 0.500 0.500 0.500

Calculated values
spin magnetization: 0.00 μB/atom
distance to the lowest polymorph of the same formula: 0 meV/atom
space group: No. 221
N(E_F): 1.6240 states/eV per atom
energy relative to the elements: 0.70 eV/atom

=====

[23]
Sm2HfTl3S6 | PBE | relaxed

a = 6.835 Å, b = 6.835 Å, c = 8.961 Å
α = 102.47°, β = 102.47°, γ = 119.81°
Atoms (fractional coordinates):
Tl 0.828 0.172 0.500
Tl 0.500 0.500 0.500
Tl 0.172 0.828 0.500
S 0.411 0.102 0.182
S 0.898 0.589 0.818
S 0.201 0.201 0.813
S 0.799 0.799 0.187
S 0.589 0.898 0.818
S 0.102 0.411 0.182
Hf 0.000 0.000 0.000
Sm 0.666 0.334 0.000
Sm 0.334 0.666 0.000

Calculated values
spin magnetization: 0.00 μB/atom
space group: No. 12
N(E_F): 0.1939 states/eV per atom
formation energy (no corrections): -1324 meV per atom